Here is a relaxed Pm12PrSc2 crystal from the Alexandria database. Energies are from PBE-GGA.

Cell lengths 6.2687, 6.2687, 27.3516 Å; angles 92.27, 92.27, 111.52 degrees
Fractional coordinates of all 30 atoms:
Pm  0.0538  0.0538  0.3661
Pm  0.1807  0.5622  0.4413
Pm  0.1895  0.5717  0.6681
Pm  0.1923  0.6988  0.7957
Pm  0.2120  0.2120  0.8666
Pm  0.2131  0.2131  0.5342
Pm  0.2326  0.7336  0.9325
Pm  0.2664  0.7674  0.0675
Pm  0.2859  0.2859  0.1368
Pm  0.3012  0.8077  0.2043
Pm  0.4283  0.8105  0.3319
Pm  0.4378  0.8193  0.5587
Pm  0.5622  0.1807  0.4413
Pm  0.5717  0.1895  0.6681
Pm  0.6988  0.1923  0.7957
Pm  0.7141  0.7141  0.8632
Pm  0.7336  0.2326  0.9325
Pm  0.7674  0.2664  0.0675
Pm  0.7869  0.7869  0.4658
Pm  0.7880  0.7880  0.1334
Pm  0.8077  0.3012  0.2043
Pm  0.8105  0.4283  0.3319
Pm  0.8193  0.4378  0.5587
Pm  0.9462  0.9462  0.6339
Pr  0.2513  0.2513  0.0013
Pr  0.7487  0.7487  0.9987
Sc  0.1762  0.1762  0.7440
Sc  0.3173  0.3173  0.2630
Sc  0.6827  0.6827  0.7370
Sc  0.8238  0.8238  0.2560

Summary:
The total magnetization comes out at 0.00 μB per atom. The total energy is -4.88 eV/atom.